VASP calculation (GGA-PBE) on LaNd2Sm8 after structural relaxation.

Lattice parameters (Å, degrees): 19.443 7.138 5.692 90.00 93.38 90.00
Space group C2/m (No. 12)
Inequivalent atoms, fractional coordinates:
1 La 0.000 0.000 0.000 x2
2 Nd 0.216 0.500 0.255 x4
3 Sm 0.045 0.500 0.239 x4
4 Sm 0.131 0.267 0.732 x8
5 Sm 0.187 0.000 0.232 x4

## Properties
* distance to the lowest polymorph of the same formula: 0.0354 eV per atom
* N(E_F): 1.6114 states/eV per atom
* uncorrected energy: -4.6025 eV/atom
* energy of formation: 0.1444 eV/atom

VASP calculation (GGA-PBE) on LaNdSm2 after structural relaxation.

Lattice parameters (Å, degrees): 3.6764 3.6764 35.8520 90.00 90.00 120.00
Space group R-3m (No. 166, hexagonal axes)
Inequivalent atoms, fractional coordinates:
1 La 0.0000 0.0000 0.0000 x3
2 Nd 0.0000 0.0000 0.5000 x3
3 Sm 0.0000 0.0000 0.2493 x6

## Properties
* distance to the lowest polymorph of the same formula: 0.0174 eV per atom
* N(E_F): 1.4396 states/eV per atom
* uncorrected energy: -4.7709 eV/atom
* energy of formation: 0.0125 eV/atom

energy of formation of number 1 (LaNd2Sm8)?
0.1444 eV/atom

Which of these has the highest N(E_F)?
LaNd2Sm8

What is the formula in the second record?
LaNdSm2